1.
! MnB4Rh12 | the Alexandria database | PBE | optimized geometry; values from VASP
&SYSTEM
  ibrav = 0, nat = 17, ntyp = 3
/
ATOMIC_SPECIES
B 10.81 B.upf
Rh 102.91 Rh.upf
Mn 54.94 Mn.upf
CELL_PARAMETERS angstrom
-1.459 5.512 -3.405
1.302 -4.942 -4.241
-5.164 -1.670 3.828
ATOMIC_POSITIONS angstrom
B -0.730 2.756 -1.702
B 0.651 -2.471 -2.120
B -2.661 -0.550 -1.909
B -2.582 -0.835 1.914
Rh -2.998 0.342 -3.758
Rh -2.113 1.306 -1.144
Rh -4.568 -0.386 1.487
Rh -1.570 2.787 -3.605
Rh -0.753 -0.714 -5.305
Rh -2.323 -1.442 -0.060
Rh -4.627 -0.175 -1.339
Rh -3.208 -2.406 -2.674
Rh -4.562 2.726 -0.987
Rh -0.695 -0.925 -2.478
Rh -0.759 -3.826 -2.831
Rh -3.751 -3.887 -0.212
Mn 0.000 0.000 0.000
! SG	Im-3
! energy relative to the elements	-0.067	eV/atom
! theoretical density	9.818	g/cm3
! total moment	0.13	μB/atom

***

2.
! PmZnCl6 | the Alexandria database | PBE | optimized geometry; values from VASP
&SYSTEM
  ibrav = 0, nat = 8, ntyp = 3
/
ATOMIC_SPECIES
Cl 35.45 Cl.upf
Pm 145.00 Pm.upf
Zn 65.41 Zn.upf
CELL_PARAMETERS angstrom
6.418 0.008 0.012
3.202 5.560 0.023
3.202 1.856 6.063
ATOMIC_POSITIONS angstrom
Cl 7.600 1.824 4.644
Cl 5.222 5.600 1.455
Cl 5.381 1.735 1.452
Cl 7.442 5.689 4.647
Cl 8.651 3.803 1.470
Cl 4.172 3.621 4.628
Pm 6.411 3.712 3.049
Zn 0.000 0.000 0.000
! SG	P-1
! formation energy without anion corrections	-1347	meV per atom
! theoretical density	3.256	g/cm3
! total moment	0.14	μB/atom

***

3.
! Tc2AgW | the Alexandria database | PBE | optimized geometry; values from VASP
&SYSTEM
  ibrav = 0, nat = 4, ntyp = 3
/
ATOMIC_SPECIES
Tc 98.00 Tc.upf
Ag 107.87 Ag.upf
W 183.84 W.upf
CELL_PARAMETERS angstrom
-0.494 2.797 -0.431
-2.389 0.045 3.028
4.398 1.308 3.451
ATOMIC_POSITIONS angstrom
Tc 0.122 0.036 0.096
Tc 2.077 0.618 1.630
Ag 1.857 2.402 3.886
W -0.342 1.748 2.161
! SG	Pmmm
! energy relative to the elements	0.404	eV/atom
! theoretical density	12.729	g/cm3
! total moment	0.00	μB/atom

***

4.
! LaTa2Rh | the Alexandria database | PBE | optimized geometry; values from VASP
&SYSTEM
  ibrav = 0, nat = 8, ntyp = 3
/
ATOMIC_SPECIES
La 138.91 La.upf
Rh 102.91 Rh.upf
Ta 180.95 Ta.upf
CELL_PARAMETERS angstrom
-1.823 3.331 2.996
-3.270 1.221 -3.348
-8.274 -3.871 3.175
ATOMIC_POSITIONS angstrom
La 0.000 0.000 0.000
La -6.322 0.868 2.997
Rh -2.546 2.276 -0.176
Rh -7.045 -0.187 -0.175
Ta -10.110 0.874 2.637
Ta -3.309 0.705 1.742
Ta -4.647 0.774 -0.419
Ta -8.667 -0.990 1.684
! SG	I-42d
! energy relative to the elements	0.739	eV/atom
! theoretical density	9.475	g/cm3
! total moment	0.00	μB/atom

***

Number 1: energy -125.24 eV/cell. Number 2: energy -27.88 eV/cell. Number 3: energy -34.92 eV/cell. Number 4: energy -66.06 eV/cell.